Compound: Ti6AlTc
Source: Alexandria via LeMat-Bulk
Functional: GGA-PBE
Structure: optimized geometry

Output
* energy relative to the lowest polymorph listed for this composition: 14.2 meV per atom
* total DFT energy (no corrections): -7.879 eV/atom
* ΔH_f (0 K): -4.5 kcal/mol of atoms
* space group: R-3, No. 148

a = 7.443 Å, b = 6.985 Å, c = 5.103 Å
α = 46.85°, β = 43.14°, γ = 57.77°
Atoms (fractional coordinates):
Ti  0.015  0.460  0.767
Ti  0.758  0.985  0.717
Ti  0.540  0.243  0.202
Ti  0.242  0.015  0.283
Ti  0.985  0.540  0.233
Ti  0.460  0.757  0.798
Al  0.500  0.500  0.500
Tc  0.000  0.000  0.000